Entry 1:
# TmZr3

TmZr3 after structural relaxation (PBE, OQMD).

Cell lengths 6.597, 6.597, 5.200 Å; angles 90.00, 90.00, 119.87 degrees
Fractional coordinates of all 8 atoms:
Tm1 0.086 0.914 0.750
Tm2 0.914 0.086 0.250
Zr1 0.089 0.426 0.750
Zr2 0.418 0.582 0.250
Zr3 0.426 0.089 0.250
Zr4 0.574 0.911 0.750
Zr5 0.582 0.418 0.750
Zr6 0.911 0.574 0.250

Results
Crystal system: orthorhombic
Energy of formation in eV per atom: 0.02
Calculated volume in Å³ per cell: 196.2
Space group: Cmcm, No. 63
Spin magnetization in μB per atom: 0.000


Entry 2:
# UGeMo

UGeMo after structural relaxation (PBE, OQMD).

Cell lengths 4.539, 4.539, 4.539 Å; angles 60.00, 60.00, 60.00 degrees
Fractional coordinates of all 3 atoms:
U1 0.000 0.000 0.000
Ge1 0.750 0.750 0.750
Mo1 0.250 0.250 0.250

Results
Crystal system: cubic
Calculated volume in Å³ per cell: 66.1
Space group: F-43m, No. 216
DFT total energy in eV/atom: -7.9619
Spin magnetization in μB per atom: 0.009


Entry 3:
# LiZrAgS3

LiZrAgS3 after structural relaxation (PBE, OQMD).

Cell lengths 11.201, 3.652, 12.318 Å; angles 90.00, 90.00, 90.00 degrees
Fractional coordinates of all 24 atoms:
Li1 0.137 0.250 0.024
Li2 0.363 0.750 0.524
Li3 0.637 0.250 0.476
Li4 0.863 0.750 0.976
Zr1 0.054 0.250 0.723
Zr2 0.446 0.750 0.223
Zr3 0.554 0.250 0.777
Zr4 0.946 0.750 0.277
Ag1 0.224 0.250 0.282
Ag2 0.276 0.750 0.782
Ag3 0.724 0.250 0.218
Ag4 0.776 0.750 0.718
S1 0.040 0.250 0.387
S2 0.072 0.750 0.878
S3 0.247 0.250 0.633
S4 0.253 0.750 0.133
S5 0.428 0.250 0.378
S6 0.460 0.750 0.887
S7 0.540 0.250 0.113
S8 0.572 0.750 0.622
S9 0.747 0.250 0.867
S10 0.753 0.750 0.367
S11 0.928 0.250 0.122
S12 0.960 0.750 0.613

Results
Crystal system: orthorhombic
Calculated volume in Å³ per cell: 503.9
Space group: Pnma, No. 62
DFT total energy in eV/atom: -5.3445
Spin magnetization in μB per atom: 0.001


Entry 4:
# ZnCdSO

ZnCdSO after structural relaxation (PBE, OQMD).

Cell lengths 3.677, 3.677, 11.430 Å; angles 90.00, 90.00, 120.00 degrees
Fractional coordinates of all 8 atoms:
Zn1 0.000 0.000 0.000
Zn2 0.000 0.000 0.500
Cd1 0.333 0.667 0.264
Cd2 0.667 0.333 0.764
S1 0.333 0.667 0.588
S2 0.667 0.333 0.088
O1 0.000 0.000 0.331
O2 0.000 0.000 0.831

Results
Crystal system: hexagonal
Calculated volume in Å³ per cell: 133.8
Space group: P6_3mc, No. 186
DFT total energy in eV/atom: -3.7100


Entry 5:
# KPdO3

KPdO3 after structural relaxation (PBE, OQMD).

Cell lengths 3.990, 3.990, 4.743 Å; angles 90.00, 90.00, 90.00 degrees
Fractional coordinates of all 5 atoms:
K1 0.000 0.000 0.000
Pd1 0.500 0.500 0.421
O1 0.000 0.000 0.504
O2 0.000 0.500 0.488
O3 0.500 0.000 0.488

Results
Crystal system: tetragonal
Calculated volume in Å³ per cell: 75.5
Space group: P4mm, No. 99
DFT total energy in eV/atom: -4.3271


Entry 6:
# ReNi

ReNi after structural relaxation (PBE, OQMD).

Cell lengths 4.239, 2.613, 4.580 Å; angles 90.00, 90.00, 90.00 degrees
Fractional coordinates of all 4 atoms:
Re1 0.250 0.000 0.163
Re2 0.750 0.000 0.837
Ni1 0.250 0.500 0.650
Ni2 0.750 0.500 0.350

Results
Crystal system: orthorhombic
Energy of formation in eV per atom: -0.02
Calculated volume in Å³ per cell: 50.7
Space group: Pmma, No. 51
Spin magnetization in μB per atom: 0.003


Entry 7:
# Li3IrO4

Li3IrO4 after structural relaxation (PBE, OQMD).

Cell lengths 5.011, 12.015, 5.099 Å; angles 90.00, 109.03, 90.00 degrees
Fractional coordinates of all 32 atoms:
Li1 0.000 0.000 0.000
Li2 0.000 0.106 0.500
Li3 0.000 0.640 0.500
Li4 0.000 0.888 0.500
Li5 0.500 0.103 0.000
Li6 0.500 0.237 0.500
Li7 0.500 0.378 0.000
Li8 0.500 0.526 0.500
Li9 0.500 0.640 0.000
Li10 0.500 0.760 0.500
Li11 0.500 0.888 0.000
Li12 0.500 0.995 0.500
Ir1 0.000 0.240 0.000
Ir2 0.000 0.379 0.500
Ir3 0.000 0.508 0.000
Ir4 0.000 0.763 0.000
O1 0.230 0.259 0.749
O2 0.230 0.375 0.231
O3 0.234 0.752 0.766
O4 0.235 0.498 0.747
O5 0.235 0.633 0.229
O6 0.239 0.868 0.237
O7 0.244 0.135 0.233
O8 0.251 0.001 0.745
O9 0.749 0.001 0.255
O10 0.756 0.135 0.767
O11 0.761 0.868 0.763
O12 0.765 0.498 0.253
O13 0.765 0.633 0.771
O14 0.766 0.752 0.234
O15 0.770 0.259 0.251
O16 0.770 0.375 0.769

Results
Crystal system: monoclinic
Calculated volume in Å³ per cell: 290.2
Space group: P2, No. 3
DFT total energy in eV/atom: -5.6724
Spin magnetization in μB per atom: 0.151


Entry 8:
# ZrCoAgGe

ZrCoAgGe after structural relaxation (PBE, OQMD).

Cell lengths 4.500, 4.500, 4.500 Å; angles 60.00, 60.00, 60.00 degrees
Fractional coordinates of all 4 atoms:
Zr1 0.000 0.000 0.000
Co1 0.750 0.750 0.750
Ag1 0.250 0.250 0.250
Ge1 0.500 0.500 0.500

Results
Crystal system: cubic
Calculated volume in Å³ per cell: 64.4
Space group: F-43m, No. 216
DFT total energy in eV/atom: -5.8511
Spin magnetization in μB per atom: 0.002


Entry 9:
# HoTmAl4Cu2

HoTmAl4Cu2 after structural relaxation (PBE, OQMD).

Cell lengths 6.778, 5.423, 5.423 Å; angles 45.57, 90.00, 90.00 degrees
Fractional coordinates of all 8 atoms:
Ho1 0.000 0.000 0.000
Tm1 0.500 0.143 0.143
Al1 0.197 0.710 0.710
Al2 0.304 0.433 0.433
Al3 0.696 0.433 0.433
Al4 0.803 0.710 0.710
Cu1 0.000 0.284 0.284
Cu2 0.500 0.860 0.860

Results
Crystal system: orthorhombic
Calculated volume in Å³ per cell: 142.4
Space group: Amm2, No. 38
DFT total energy in eV/atom: -4.3762
Spin magnetization in μB per atom: 0.001


Entry 10:
# ZnPH7C4N2O3

ZnPH7C4N2O3 after structural relaxation (PBE, OQMD).

Cell lengths 5.145, 8.226, 16.964 Å; angles 90.00, 93.33, 90.00 degrees
Fractional coordinates of all 72 atoms:
Zn1 0.182 0.146 0.430
Zn2 0.182 0.354 0.930
Zn3 0.818 0.646 0.070
Zn4 0.818 0.854 0.570
P1 0.295 0.723 0.974
P2 0.295 0.777 0.474
P3 0.705 0.223 0.526
P4 0.705 0.277 0.026
H1 0.008 0.077 0.079
H2 0.008 0.423 0.579
H3 0.065 0.150 0.649
H4 0.065 0.350 0.149
H5 0.110 0.680 0.241
H6 0.110 0.820 0.741
H7 0.275 0.014 0.968
H8 0.275 0.486 0.468
H9 0.294 0.573 0.373
H10 0.294 0.927 0.873
H11 0.367 0.662 0.657
H12 0.367 0.838 0.157
H13 0.465 0.553 0.813
H14 0.465 0.947 0.313
H15 0.535 0.053 0.687
H16 0.535 0.447 0.187
H17 0.633 0.162 0.843
H18 0.633 0.338 0.343
H19 0.706 0.073 0.127
H20 0.706 0.427 0.627
H21 0.725 0.514 0.532
H22 0.725 0.986 0.032
H23 0.890 0.180 0.259
H24 0.890 0.320 0.759
H25 0.935 0.650 0.851
H26 0.935 0.850 0.351
H27 0.992 0.577 0.421
H28 0.992 0.923 0.921
C1 0.080 0.237 0.262
C2 0.080 0.263 0.762
C3 0.205 0.585 0.430
C4 0.205 0.915 0.930
C5 0.417 0.122 0.726
C6 0.417 0.378 0.226
C7 0.465 0.177 0.802
C8 0.465 0.323 0.302
C9 0.535 0.677 0.698
C10 0.535 0.823 0.198
C11 0.583 0.622 0.774
C12 0.583 0.878 0.274
C13 0.795 0.085 0.070
C14 0.795 0.415 0.570
C15 0.920 0.737 0.238
C16 0.920 0.763 0.738
N1 0.174 0.178 0.702
N2 0.174 0.322 0.202
N3 0.252 0.235 0.324
N4 0.252 0.265 0.824
N5 0.748 0.735 0.176
N6 0.748 0.765 0.676
N7 0.826 0.678 0.798
N8 0.826 0.822 0.298
O1 0.177 0.593 0.916
O2 0.177 0.907 0.416
O3 0.180 0.711 0.056
O4 0.180 0.789 0.556
O5 0.405 0.217 0.520
O6 0.405 0.283 0.020
O7 0.595 0.717 0.980
O8 0.595 0.783 0.480
O9 0.820 0.211 0.444
O10 0.820 0.289 0.944
O11 0.823 0.093 0.584
O12 0.823 0.407 0.084

Results
Crystal system: monoclinic
Calculated volume in Å³ per cell: 716.7
Space group: P2_1/c, No. 14
DFT total energy in eV/atom: -6.1113


Entry 11:
# TmMoAs

TmMoAs after structural relaxation (PBE, OQMD).

Cell lengths 4.452, 4.452, 4.452 Å; angles 60.00, 60.00, 60.00 degrees
Fractional coordinates of all 3 atoms:
Tm1 0.000 0.000 0.000
Mo1 0.500 0.500 0.500
As1 0.750 0.750 0.750

Results
Crystal system: cubic
Calculated volume in Å³ per cell: 62.4
Space group: F-43m, No. 216
DFT total energy in eV/atom: -6.7910
Spin magnetization in μB per atom: 0.009


Entry 12:
# K4OsO5

K4OsO5 after structural relaxation (PBE, OQMD).

Cell lengths 6.242, 6.242, 6.242 Å; angles 100.64, 100.64, 129.11 degrees
Fractional coordinates of all 10 atoms:
K1 0.096 0.699 0.795
K2 0.301 0.096 0.397
K3 0.699 0.904 0.603
K4 0.904 0.301 0.205
Os1 0.453 0.453 0.000
O1 0.108 0.108 0.000
O2 0.283 0.435 0.698
O3 0.435 0.736 0.152
O4 0.584 0.283 0.848
O5 0.736 0.584 0.302

Results
Crystal system: tetragonal
Calculated volume in Å³ per cell: 170.4
Space group: I4, No. 79
DFT total energy in eV/atom: -5.3728
Spin magnetization in μB per atom: 0.200


Entry 13:
# FeTcBiOs

FeTcBiOs after structural relaxation (PBE, OQMD).

Cell lengths 4.508, 4.508, 4.508 Å; angles 60.00, 60.00, 60.00 degrees
Fractional coordinates of all 4 atoms:
Fe1 0.000 0.000 0.000
Tc1 0.500 0.500 0.500
Bi1 0.750 0.750 0.750
Os1 0.250 0.250 0.250

Results
Crystal system: cubic
Calculated volume in Å³ per cell: 64.8
Space group: F-43m, No. 216
DFT total energy in eV/atom: -7.7416
Spin magnetization in μB per atom: 0.554


Entry 14:
# PmReAg

PmReAg after structural relaxation (PBE, OQMD).

Cell lengths 4.792, 4.792, 4.792 Å; angles 60.00, 60.00, 60.00 degrees
Fractional coordinates of all 3 atoms:
Pm1 0.000 0.000 0.000
Re1 0.250 0.250 0.250
Ag1 0.750 0.750 0.750

Results
Crystal system: cubic
Energy of formation in eV per atom: 1.45
Calculated volume in Å³ per cell: 77.8
Space group: F-43m, No. 216
Spin magnetization in μB per atom: 0.931


Entry 15:
# DyErPO

DyErPO after structural relaxation (PBE, OQMD).

Cell lengths 4.120, 7.558, 5.514 Å; angles 90.00, 90.00, 90.00 degrees
Fractional coordinates of all 8 atoms:
Dy1 0.000 0.127 0.000
Dy2 0.000 0.873 0.500
Er1 0.500 0.293 0.458
Er2 0.500 0.707 0.958
P1 0.500 0.347 0.955
P2 0.500 0.653 0.455
O1 0.000 0.171 0.417
O2 0.000 0.829 0.917

Results
Crystal system: orthorhombic
Calculated volume in Å³ per cell: 171.7
Space group: Pmc2_1, No. 26
DFT total energy in eV/atom: -6.8985
Spin magnetization in μB per atom: 0.002


Entry 16:
# PaAlPt

PaAlPt after structural relaxation (PBE, OQMD).

Cell lengths 4.694, 4.694, 4.694 Å; angles 60.00, 60.00, 60.00 degrees
Fractional coordinates of all 3 atoms:
Pa1 0.000 0.000 0.000
Al1 0.750 0.750 0.750
Pt1 0.250 0.250 0.250

Results
Crystal system: cubic
Calculated volume in Å³ per cell: 73.1
Space group: F-43m, No. 216
DFT total energy in eV/atom: -6.3860
Spin magnetization in μB per atom: 0.002


Entry 17:
# Sn2WAu

Sn2WAu after structural relaxation (PBE, OQMD).

Cell lengths 4.882, 4.882, 4.882 Å; angles 60.00, 60.00, 60.00 degrees
Fractional coordinates of all 4 atoms:
Sn1 0.000 0.000 0.000
Sn2 0.250 0.250 0.250
W1 0.500 0.500 0.500
Au1 0.750 0.750 0.750

Results
Crystal system: cubic
Calculated volume in Å³ per cell: 82.3
Space group: F-43m, No. 216
DFT total energy in eV/atom: -5.2519
Spin magnetization in μB per atom: 0.109


Entry 18:
# Cs2Rb2CdSb2

Cs2Rb2CdSb2 after structural relaxation (PBE, OQMD).

Cell lengths 11.110, 11.110, 11.110 Å; angles 33.48, 33.48, 33.48 degrees
Fractional coordinates of all 7 atoms:
Cs1 0.208 0.208 0.208
Cs2 0.792 0.792 0.792
Rb1 0.385 0.385 0.385
Rb2 0.615 0.615 0.615
Cd1 0.000 0.000 0.000
Sb1 0.086 0.086 0.086
Sb2 0.914 0.914 0.914

Results
Crystal system: trigonal
Calculated volume in Å³ per cell: 371.6
Space group: R-3m, No. 166
DFT total energy in eV/atom: -2.2624


Entry 19:
# Zr4TlCdB2

Zr4TlCdB2 after structural relaxation (PBE, OQMD).

Cell lengths 3.443, 3.443, 15.510 Å; angles 90.00, 90.00, 120.00 degrees
Fractional coordinates of all 8 atoms:
Zr1 0.000 0.000 0.166
Zr2 0.000 0.000 0.834
Zr3 0.333 0.667 0.334
Zr4 0.333 0.667 0.666
Tl1 0.000 0.000 0.500
Cd1 0.333 0.667 0.000
B1 0.667 0.333 0.250
B2 0.667 0.333 0.750

Results
Crystal system: hexagonal
Calculated volume in Å³ per cell: 159.2
Space group: P-6m2, No. 187
DFT total energy in eV/atom: -6.6919
Spin magnetization in μB per atom: 0.000


Entry 20:
# PmZrGe

PmZrGe after structural relaxation (PBE, OQMD).

Cell lengths 4.787, 4.787, 4.787 Å; angles 60.00, 60.00, 60.00 degrees
Fractional coordinates of all 3 atoms:
Pm1 0.000 0.000 0.000
Zr1 0.500 0.500 0.500
Ge1 0.250 0.250 0.250

Results
Crystal system: cubic
Calculated volume in Å³ per cell: 77.6
Space group: F-43m, No. 216
DFT total energy in eV/atom: -6.3213
Spin magnetization in μB per atom: 0.000


Entry 21:
# GdCoSi2Pd

GdCoSi2Pd after structural relaxation (PBE, OQMD).

Cell lengths 5.714, 5.714, 5.714 Å; angles 138.51, 138.51, 60.13 degrees
Fractional coordinates of all 5 atoms:
Gd1 0.000 0.000 0.000
Co1 0.750 0.250 0.500
Si1 0.378 0.378 0.000
Si2 0.622 0.622 0.000
Pd1 0.250 0.750 0.500

Results
Crystal system: tetragonal
Calculated volume in Å³ per cell: 81.0
Space group: I-4m2, No. 119
DFT total energy in eV/atom: -6.3866
Spin magnetization in μB per atom: 0.204